w | Crystalline SrZn3Ag at its relaxed geometry, computed with GGA-PBE. Values from VASP.

Geometry as Quantum ESPRESSO input:
```
&SYSTEM
  ibrav = 0, nat = 10, ntyp = 3
/
ATOMIC_SPECIES
Sr 87.62 Sr.upf
Zn 65.41 Zn.upf
Ag 107.87 Ag.upf
CELL_PARAMETERS angstrom
5.819 0.000 0.000
0.000 6.582 0.000
0.000 -3.291 5.700
ATOMIC_POSITIONS crystal
Sr 0.750 0.667 0.333
Sr 0.250 0.333 0.667
Zn 0.750 0.602 0.801
Zn 0.250 0.801 0.602
Zn 0.250 0.398 0.199
Zn 0.750 0.199 0.398
Zn 0.250 0.801 0.199
Zn 0.750 0.199 0.801
Ag 0.000 0.000 0.000
Ag 0.500 0.000 0.000
```

Output
Space group: P6_3/mmc (194)

=====

x | Crystalline SrZn3Ag at its relaxed geometry, computed with GGA-PBE. Values from VASP.

Geometry as Quantum ESPRESSO input:
```
&SYSTEM
  ibrav = 0, nat = 10, ntyp = 3
/
ATOMIC_SPECIES
Sr 87.62 Sr.upf
Zn 65.41 Zn.upf
Ag 107.87 Ag.upf
CELL_PARAMETERS angstrom
-2.015 -2.894 -5.194
0.636 -5.558 2.850
-5.514 3.228 0.341
ATOMIC_POSITIONS crystal
Sr 0.250 0.475 0.737
Sr 0.750 0.525 0.263
Zn 0.500 0.000 0.209
Zn 0.500 0.000 0.791
Zn 0.000 0.000 0.209
Zn 0.000 0.000 0.791
Zn 0.250 0.296 0.148
Zn 0.750 0.704 0.852
Ag 0.250 0.787 0.394
Ag 0.750 0.213 0.606
```

Output
Space group: Cmcm (63)

=====

y | Crystalline SrZn3Ag at its relaxed geometry, computed with GGA-PBE. Values from VASP.

Geometry as Quantum ESPRESSO input:
```
&SYSTEM
  ibrav = 0, nat = 5, ntyp = 3
/
ATOMIC_SPECIES
Sr 87.62 Sr.upf
Zn 65.41 Zn.upf
Ag 107.87 Ag.upf
CELL_PARAMETERS angstrom
6.048 0.000 0.000
0.000 6.048 0.000
0.000 0.000 6.048
ATOMIC_POSITIONS crystal
Sr 0.000 0.000 0.000
Zn 0.000 0.500 0.000
Zn 0.000 0.000 0.500
Zn 0.500 0.000 0.000
Ag 0.500 0.500 0.500
```

Output
Space group: Pm-3m (221)

=====

Stability comparison, relative energies in eV/atom: w 0.088; x 0.000; y 1.117

=====

w | Crystalline SrZn2Ag9 at its relaxed geometry, computed with GGA-PBE. Values from VASP.

Geometry as Quantum ESPRESSO input:
```
&SYSTEM
  ibrav = 0, nat = 24, ntyp = 3
/
ATOMIC_SPECIES
Sr 87.62 Sr.upf
Zn 65.41 Zn.upf
Ag 107.87 Ag.upf
CELL_PARAMETERS angstrom
-2.996 -2.564 6.152
5.783 -1.751 6.426
-2.278 6.222 5.823
ATOMIC_POSITIONS crystal
Sr 0.500 0.000 0.000
Sr 0.250 0.500 0.500
Zn 0.875 0.250 0.750
Zn 0.875 0.750 0.250
Zn 0.875 0.250 0.250
Zn 0.375 0.750 0.750
Ag 0.750 0.500 0.500
Ag 0.000 0.000 0.000
Ag 0.013 0.919 0.675
Ag 0.606 0.081 0.325
Ag 0.681 0.175 0.581
Ag 0.437 0.825 0.419
Ag 0.737 0.825 0.581
Ag 0.144 0.175 0.419
Ag 0.069 0.919 0.325
Ag 0.313 0.081 0.675
Ag 0.737 0.581 0.825
Ag 0.144 0.419 0.175
Ag 0.069 0.325 0.919
Ag 0.313 0.675 0.081
Ag 0.013 0.675 0.919
Ag 0.606 0.325 0.081
Ag 0.681 0.581 0.175
Ag 0.437 0.419 0.825
```

Output
Space group: I4_1/amd (141)

=====

x | Crystalline SrZn2Ag9 at its relaxed geometry, computed with GGA-PBE. Values from VASP.

Geometry as Quantum ESPRESSO input:
```
&SYSTEM
  ibrav = 0, nat = 12, ntyp = 3
/
ATOMIC_SPECIES
Sr 87.62 Sr.upf
Zn 65.41 Zn.upf
Ag 107.87 Ag.upf
CELL_PARAMETERS angstrom
-3.016 0.659 -0.412
-2.292 -7.758 4.375
1.058 7.812 4.739
ATOMIC_POSITIONS crystal
Sr 0.000 0.000 0.000
Zn 0.000 0.667 0.333
Zn 0.000 0.333 0.667
Ag 0.500 0.814 0.186
Ag 0.000 0.000 0.500
Ag 0.000 0.500 0.500
Ag 0.500 0.814 0.627
Ag 0.500 0.186 0.814
Ag 0.500 0.627 0.814
Ag 0.500 0.186 0.373
Ag 0.000 0.500 0.000
Ag 0.500 0.373 0.186
```

Output
Space group: P6/mmm (191)

=====

Stability comparison, relative energies in eV/atom: w 0.000; x 0.093

=====

w | Crystalline Sr2Zn5Ag3 at its relaxed geometry, computed with GGA-PBE. Values from VASP.

Geometry as Quantum ESPRESSO input:
```
&SYSTEM
  ibrav = 0, nat = 10, ntyp = 3
/
ATOMIC_SPECIES
Sr 87.62 Sr.upf
Zn 65.41 Zn.upf
Ag 107.87 Ag.upf
CELL_PARAMETERS angstrom
-2.187 -3.879 -0.869
2.504 -0.574 -3.740
7.327 -5.418 5.738
ATOMIC_POSITIONS crystal
Sr 0.500 0.000 0.246
Sr 0.000 0.500 0.754
Zn 0.500 0.500 0.000
Zn 0.000 0.000 0.000
Zn 0.500 0.000 0.887
Zn 0.000 0.500 0.113
Zn 0.500 0.500 0.500
Ag 0.500 0.000 0.645
Ag 0.000 0.500 0.355
Ag 0.000 0.000 0.500
```

Output
Space group: P-4m2 (115)

=====

x | Crystalline Sr2Zn5Ag3 at its relaxed geometry, computed with GGA-PBE. Values from VASP.

Geometry as Quantum ESPRESSO input:
```
&SYSTEM
  ibrav = 0, nat = 20, ntyp = 3
/
ATOMIC_SPECIES
Sr 87.62 Sr.upf
Zn 65.41 Zn.upf
Ag 107.87 Ag.upf
CELL_PARAMETERS angstrom
-5.821 -2.080 -0.996
-0.319 -9.005 0.742
-5.102 1.208 7.366
ATOMIC_POSITIONS crystal
Sr 0.268 0.860 0.604
Sr 0.232 0.396 0.140
Sr 0.732 0.140 0.396
Sr 0.768 0.604 0.860
Zn 0.350 0.032 0.266
Zn 0.150 0.734 0.968
Zn 0.650 0.968 0.734
Zn 0.850 0.266 0.032
Zn 0.250 0.218 0.782
Zn 0.750 0.782 0.218
Zn 0.250 0.500 0.500
Zn 0.750 0.500 0.500
Zn 0.250 0.783 0.217
Zn 0.750 0.217 0.783
Ag 0.107 0.253 0.533
Ag 0.393 0.467 0.747
Ag 0.893 0.747 0.467
Ag 0.607 0.533 0.253
Ag 0.250 0.000 0.000
Ag 0.750 0.000 0.000
```

Output
Space group: C2/c (15)

=====

Stability comparison, relative energies in eV/atom: w 0.019; x 0.000

=====

w | Crystalline SrZn3Ag3 at its relaxed geometry, computed with GGA-PBE. Values from VASP.

Geometry as Quantum ESPRESSO input:
```
&SYSTEM
  ibrav = 0, nat = 14, ntyp = 3
/
ATOMIC_SPECIES
Sr 87.62 Sr.upf
Zn 65.41 Zn.upf
Ag 107.87 Ag.upf
CELL_PARAMETERS angstrom
4.715 0.000 0.000
0.000 7.140 -4.077
0.000 -0.041 8.222
ATOMIC_POSITIONS crystal
Sr 0.750 0.333 0.667
Sr 0.250 0.667 0.333
Zn 0.750 0.929 0.370
Zn 0.750 0.441 0.071
Zn 0.750 0.630 0.559
Zn 0.250 0.071 0.630
Zn 0.250 0.559 0.929
Zn 0.250 0.370 0.441
Ag 0.750 0.778 0.000
Ag 0.750 0.223 0.222
Ag 0.750 0.000 0.777
Ag 0.250 0.222 0.000
Ag 0.250 0.777 0.778
Ag 0.250 0.000 0.223
```

Output
Space group: P6_3/m (176)

=====

x | Crystalline SrZn3Ag3 at its relaxed geometry, computed with GGA-PBE. Values from VASP.

Geometry as Quantum ESPRESSO input:
```
&SYSTEM
  ibrav = 0, nat = 14, ntyp = 3
/
ATOMIC_SPECIES
Sr 87.62 Sr.upf
Zn 65.41 Zn.upf
Ag 107.87 Ag.upf
CELL_PARAMETERS angstrom
-1.064 7.202 -1.275
-2.081 2.297 -6.709
-7.003 2.578 -1.016
ATOMIC_POSITIONS crystal
Sr 0.334 0.334 0.998
Sr 0.666 0.666 0.002
Zn 0.527 0.728 0.616
Zn 0.728 0.129 0.616
Zn 0.129 0.527 0.616
Zn 0.871 0.473 0.384
Zn 0.272 0.871 0.384
Zn 0.473 0.272 0.384
Ag 0.155 0.705 0.205
Ag 0.935 0.155 0.205
Ag 0.705 0.935 0.205
Ag 0.295 0.065 0.795
Ag 0.065 0.845 0.795
Ag 0.845 0.295 0.795
```

Output
Space group: R-3 (148)

=====

Stability comparison, relative energies in eV/atom: w 0.016; x 0.000

=====

w | Crystalline Sr2Zn4Ag5 at its relaxed geometry, computed with GGA-PBE. Values from VASP.

Geometry as Quantum ESPRESSO input:
```
&SYSTEM
  ibrav = 0, nat = 11, ntyp = 3
/
ATOMIC_SPECIES
Sr 87.62 Sr.upf
Zn 65.41 Zn.upf
Ag 107.87 Ag.upf
CELL_PARAMETERS angstrom
-5.656 1.227 -0.379
-4.174 -4.154 4.448
-2.389 4.259 5.066
ATOMIC_POSITIONS crystal
Sr 0.285 0.775 0.655
Sr 0.715 0.225 0.345
Zn 0.369 0.076 0.187
Zn 0.631 0.924 0.813
Zn 0.769 0.555 0.906
Zn 0.231 0.445 0.094
Ag 0.210 0.242 0.827
Ag 0.790 0.758 0.173
Ag 0.000 0.500 0.500
Ag 0.721 0.242 0.827
Ag 0.279 0.758 0.173
```

Output
Space group: C2/m (12)

=====

x | Crystalline Sr2Zn4Ag5 at its relaxed geometry, computed with GGA-PBE. Values from VASP.

Geometry as Quantum ESPRESSO input:
```
&SYSTEM
  ibrav = 0, nat = 11, ntyp = 3
/
ATOMIC_SPECIES
Sr 87.62 Sr.upf
Zn 65.41 Zn.upf
Ag 107.87 Ag.upf
CELL_PARAMETERS angstrom
5.397 0.000 2.576
2.699 4.945 1.288
-0.842 0.000 8.706
ATOMIC_POSITIONS crystal
Sr 0.865 0.000 0.270
Sr 0.135 0.000 0.730
Zn 0.480 0.302 0.739
Zn 0.520 0.698 0.261
Zn 0.219 0.302 0.261
Zn 0.781 0.698 0.739
Ag 0.500 0.000 0.000
Ag 0.000 0.500 0.000
Ag 0.500 0.500 0.000
Ag 0.250 0.500 0.500
Ag 0.750 0.500 0.500
```

Output
Space group: Fmmm (69)

=====

Stability comparison, relative energies in eV/atom: w 0.059; x 0.000

=====

w | Crystalline Sr2ZrAg at its relaxed geometry, computed with GGA-PBE. Values from VASP.

Geometry as Quantum ESPRESSO input:
```
&SYSTEM
  ibrav = 0, nat = 4, ntyp = 3
/
ATOMIC_SPECIES
Ag 107.87 Ag.upf
Sr 87.62 Sr.upf
Zr 91.22 Zr.upf
CELL_PARAMETERS angstrom
-1.620 5.694 1.570
-5.507 -0.295 2.665
5.144 -3.138 1.100
ATOMIC_POSITIONS crystal
Ag 0.750 0.250 0.500
Sr 0.000 0.000 0.000
Sr 0.500 0.500 0.000
Zr 0.250 0.750 0.500
```

Output
Space group: I4/mmm (139)

=====

x | Crystalline Sr2ZrAg at its relaxed geometry, computed with GGA-PBE. Values from VASP.

Geometry as Quantum ESPRESSO input:
```
&SYSTEM
  ibrav = 0, nat = 4, ntyp = 3
/
ATOMIC_SPECIES
Ag 107.87 Ag.upf
Sr 87.62 Sr.upf
Zr 91.22 Zr.upf
CELL_PARAMETERS angstrom
5.573 0.000 0.000
2.787 4.827 0.000
2.787 1.609 4.551
ATOMIC_POSITIONS crystal
Ag 0.500 0.500 0.500
Sr 0.000 0.000 0.000
Sr 0.250 0.250 0.250
Zr 0.750 0.750 0.750
```

Output
Space group: F-43m (216)

=====

Stability comparison, relative energies in eV/atom: w 0.000; x 0.046

=====

w | Crystalline Sr2ZrAg at its relaxed geometry, computed with GGA-PBE. Values from VASP.

Geometry as Quantum ESPRESSO input:
```
&SYSTEM
  ibrav = 0, nat = 4, ntyp = 3
/
ATOMIC_SPECIES
Ag 107.87 Ag.upf
Sr 87.62 Sr.upf
Zr 91.22 Zr.upf
CELL_PARAMETERS angstrom
-4.676 -0.570 4.438
-3.700 -5.293 -0.425
6.349 1.255 0.054
ATOMIC_POSITIONS crystal
Ag 0.750 0.250 0.500
Sr 0.000 0.000 0.000
Sr 0.250 0.750 0.500
Zr 0.500 0.500 0.000
```

Output
Space group: I-4m2 (119)

=====

x | Crystalline Sr2ZrAg at its relaxed geometry, computed with GGA-PBE. Values from VASP.

Geometry as Quantum ESPRESSO input:
```
&SYSTEM
  ibrav = 0, nat = 4, ntyp = 3
/
ATOMIC_SPECIES
Ag 107.87 Ag.upf
Sr 87.62 Sr.upf
Zr 91.22 Zr.upf
CELL_PARAMETERS angstrom
-5.903 -8.763 -2.987
-6.454 -8.856 0.690
-8.584 -6.690 -1.454
ATOMIC_POSITIONS crystal
Ag 0.750 0.750 0.750
Sr 0.006 0.006 0.006
Sr 0.494 0.494 0.494
Zr 0.250 0.250 0.250
```

Output
Space group: R-3m (166)

=====

y | Crystalline Sr2ZrAg at its relaxed geometry, computed with GGA-PBE. Values from VASP.

Geometry as Quantum ESPRESSO input:
```
&SYSTEM
  ibrav = 0, nat = 4, ntyp = 3
/
ATOMIC_SPECIES
Ag 107.87 Ag.upf
Sr 87.62 Sr.upf
Zr 91.22 Zr.upf
CELL_PARAMETERS angstrom
5.049 0.000 0.000
0.000 4.001 -0.009
0.000 2.009 6.555
ATOMIC_POSITIONS crystal
Ag 0.500 0.573 0.734
Sr 0.000 0.968 0.940
Sr 0.500 0.283 0.308
Zr 0.000 0.677 0.518
```

Output
Space group: Pm (6)

=====

Stability comparison, relative energies in eV/atom: w 0.171; x 0.049; y 0.000

=====

w | Crystalline Sr2ZrAg at its relaxed geometry, computed with GGA-PBE. Values from VASP.

Geometry as Quantum ESPRESSO input:
```
&SYSTEM
  ibrav = 0, nat = 4, ntyp = 3
/
ATOMIC_SPECIES
Ag 107.87 Ag.upf
Sr 87.62 Sr.upf
Zr 91.22 Zr.upf
CELL_PARAMETERS angstrom
5.957 0.003 0.000
-1.201 5.835 0.000
0.000 0.000 3.638
ATOMIC_POSITIONS crystal
Ag 0.000 0.500 0.500
Sr 0.000 0.000 0.000
Sr 0.500 0.500 0.000
Zr 0.500 0.000 0.500
```

Output
Space group: Cmmm (65)

=====

x | Crystalline Sr2ZrAg at its relaxed geometry, computed with GGA-PBE. Values from VASP.

Geometry as Quantum ESPRESSO input:
```
&SYSTEM
  ibrav = 0, nat = 4, ntyp = 3
/
ATOMIC_SPECIES
Ag 107.87 Ag.upf
Sr 87.62 Sr.upf
Zr 91.22 Zr.upf
CELL_PARAMETERS angstrom
-0.052 -3.384 -1.489
-0.540 -1.466 3.351
-9.691 0.700 -1.255
ATOMIC_POSITIONS crystal
Ag 0.500 0.500 0.702
Sr 0.000 0.000 0.934
Sr 0.500 0.500 0.300
Zr 0.000 0.000 0.565
```

Output
Space group: P4mm (99)

=====

Stability comparison, relative energies in eV/atom: w 0.206; x 0.000

=====

w | Crystalline SrZr2Ag at its relaxed geometry, computed with GGA-PBE. Values from VASP.

Geometry as Quantum ESPRESSO input:
```
&SYSTEM
  ibrav = 0, nat = 4, ntyp = 3
/
ATOMIC_SPECIES
Sr 87.62 Sr.upf
Zr 91.22 Zr.upf
Ag 107.87 Ag.upf
CELL_PARAMETERS angstrom
0.000 3.647 3.647
3.647 0.000 3.647
3.647 3.647 0.000
ATOMIC_POSITIONS crystal
Sr 0.000 0.000 0.000
Zr 0.250 0.250 0.250
Zr 0.750 0.750 0.750
Ag 0.500 0.500 0.500
```

Output
Space group: Fm-3m (225)

=====

x | Crystalline SrZr2Ag at its relaxed geometry, computed with GGA-PBE. Values from VASP.

Geometry as Quantum ESPRESSO input:
```
&SYSTEM
  ibrav = 0, nat = 4, ntyp = 3
/
ATOMIC_SPECIES
Ag 107.87 Ag.upf
Sr 87.62 Sr.upf
Zr 91.22 Zr.upf
CELL_PARAMETERS angstrom
-7.555 -1.630 -7.903
-6.542 -4.741 -7.544
-8.876 -3.532 -5.562
ATOMIC_POSITIONS crystal
Ag 0.250 0.250 0.250
Sr 0.750 0.750 0.750
Zr 0.989 0.989 0.989
Zr 0.511 0.511 0.511
```

Output
Space group: R-3m (166)

=====

y | Crystalline SrZr2Ag at its relaxed geometry, computed with GGA-PBE. Values from VASP.

Geometry as Quantum ESPRESSO input:
```
&SYSTEM
  ibrav = 0, nat = 4, ntyp = 3
/
ATOMIC_SPECIES
Ag 107.87 Ag.upf
Sr 87.62 Sr.upf
Zr 91.22 Zr.upf
CELL_PARAMETERS angstrom
3.316 0.000 0.000
0.000 5.231 0.000
0.000 0.000 5.880
ATOMIC_POSITIONS crystal
Ag 0.500 0.000 0.500
Sr 0.000 0.500 0.500
Zr 0.000 0.000 0.000
Zr 0.500 0.500 0.000
```

Output
Space group: Pmmm (47)

=====

z | Crystalline SrZr2Ag at its relaxed geometry, computed with GGA-PBE. Values from VASP.

Geometry as Quantum ESPRESSO input:
```
&SYSTEM
  ibrav = 0, nat = 4, ntyp = 3
/
ATOMIC_SPECIES
Ag 107.87 Ag.upf
Sr 87.62 Sr.upf
Zr 91.22 Zr.upf
CELL_PARAMETERS angstrom
6.697 0.002 0.027
5.875 3.214 0.027
2.047 0.524 4.819
ATOMIC_POSITIONS crystal
Ag 0.750 0.750 0.750
Sr 0.250 0.250 0.250
Zr 0.034 0.034 0.966
Zr 0.466 0.466 0.534
```

Output
Space group: Immm (71)

=====

Stability comparison, relative energies in eV/atom: w 0.426; x 0.274; y 0.160; z 0.000

=====

w | Crystalline SrZr2Ag at its relaxed geometry, computed with GGA-PBE. Values from VASP.

Geometry as Quantum ESPRESSO input:
```
&SYSTEM
  ibrav = 0, nat = 4, ntyp = 3
/
ATOMIC_SPECIES
Ag 107.87 Ag.upf
Sr 87.62 Sr.upf
Zr 91.22 Zr.upf
CELL_PARAMETERS angstrom
3.412 0.000 0.000
0.000 3.412 0.002
0.000 3.404 9.051
ATOMIC_POSITIONS crystal
Ag 0.000 0.539 0.461
Sr 0.500 0.780 0.720
Zr 0.000 0.949 0.051
Zr 0.500 0.232 0.268
```

Output
Space group: P4mm (99)

=====

x | Crystalline SrZr2Ag at its relaxed geometry, computed with GGA-PBE. Values from VASP.

Geometry as Quantum ESPRESSO input:
```
&SYSTEM
  ibrav = 0, nat = 4, ntyp = 3
/
ATOMIC_SPECIES
Ag 107.87 Ag.upf
Sr 87.62 Sr.upf
Zr 91.22 Zr.upf
CELL_PARAMETERS angstrom
-1.936 2.462 0.610
-2.270 -2.029 0.954
3.559 0.460 9.444
ATOMIC_POSITIONS crystal
Ag 0.500 0.500 0.250
Sr 0.500 0.500 0.750
Zr 0.000 0.000 0.050
Zr 0.000 0.000 0.450
```

Output
Space group: Cmmm (65)

=====

Stability comparison, relative energies in eV/atom: w 0.000; x 0.310